# 1
Density functional theory data (SCAN) for KMgOsC2 at its PBEsol-relaxed geometry.

Cell and atoms, written as CIF:
```
data_KMgOsC2
_chemical_formula_sum 'K1 Mg1 Os1 C2'
_cell_length_a 4.2945
_cell_length_b 4.2945
_cell_length_c 4.7871
_cell_angle_alpha 90.00
_cell_angle_beta 90.00
_cell_angle_gamma 90.00
_space_group_name_H-M_alt 'P 4/m m m'
_space_group_IT_number 123
_space_group_name_Hall '-P 4 2'
loop_
_atom_site_label
_atom_site_type_symbol
_atom_site_fract_x
_atom_site_fract_y
_atom_site_fract_z
K1 K 0.0000 0.0000 0.0000
Mg1 Mg 0.5000 0.5000 0.5000
Os1 Os 0.5000 0.5000 0.0000
C1 C 0.0000 0.5000 0.5000
```

Output
Crystal system: tetragonal
M_tot in μB/f.u.: 1.94
Calculated formation energy in meV per atom: 2851



# 2
Density functional theory data (SCAN) for CsTl2Au2 at its PBEsol-relaxed geometry.

Cell and atoms, written as CIF:
```
data_CsTl2Au2
_chemical_formula_sum 'Cs2 Tl4 Au4'
_cell_length_a 5.2033
_cell_length_b 5.2033
_cell_length_c 11.0307
_cell_angle_alpha 90.00
_cell_angle_beta 90.00
_cell_angle_gamma 90.00
_space_group_name_H-M_alt 'I 4/m m m'
_space_group_IT_number 139
_space_group_name_Hall '-I 4 2'
loop_
_atom_site_label
_atom_site_type_symbol
_atom_site_fract_x
_atom_site_fract_y
_atom_site_fract_z
Cs1 Cs 0.0000 0.0000 0.0000
Tl1 Tl 0.0000 0.0000 0.3549
Au1 Au 0.0000 0.5000 0.2500
```

Output
Crystal system: tetragonal
M_tot in μB/f.u.: 0.00
Calculated formation energy in meV per atom: -234



# 3
Density functional theory data (SCAN) for BaTlCu2 at its PBEsol-relaxed geometry.

Cell and atoms, written as CIF:
```
data_BaTlCu2
_chemical_formula_sum 'Ba4 Tl4 Cu8'
_cell_length_a 7.2213
_cell_length_b 7.2213
_cell_length_c 7.2213
_cell_angle_alpha 90.00
_cell_angle_beta 90.00
_cell_angle_gamma 90.00
_space_group_name_H-M_alt 'F -4 3 m'
_space_group_IT_number 216
_space_group_name_Hall 'F -4 2 3'
loop_
_atom_site_label
_atom_site_type_symbol
_atom_site_fract_x
_atom_site_fract_y
_atom_site_fract_z
Ba1 Ba 0.0000 0.0000 0.0000
Tl1 Tl 0.2500 0.2500 0.2500
Cu1 Cu 0.0000 0.0000 0.5000
Cu2 Cu 0.2500 0.2500 0.7500
```

Output
Crystal system: cubic
M_tot in μB/f.u.: 0.00
Calculated formation energy in meV per atom: 366



# 4
Density functional theory data (SCAN) for In2IrBr at its PBEsol-relaxed geometry.

Cell and atoms, written as CIF:
```
data_In2IrBr
_chemical_formula_sum 'In8 Ir4 Br4'
_cell_length_a 6.8897
_cell_length_b 6.8897
_cell_length_c 6.8897
_cell_angle_alpha 90.00
_cell_angle_beta 90.00
_cell_angle_gamma 90.00
_space_group_name_H-M_alt 'F -4 3 m'
_space_group_IT_number 216
_space_group_name_Hall 'F -4 2 3'
loop_
_atom_site_label
_atom_site_type_symbol
_atom_site_fract_x
_atom_site_fract_y
_atom_site_fract_z
In1 In 0.0000 0.0000 0.0000
In2 In 0.2500 0.2500 0.2500
Ir1 Ir 0.0000 0.0000 0.5000
Br1 Br 0.2500 0.2500 0.7500
```

Output
Crystal system: cubic
M_tot in μB/f.u.: 0.00
Formation energy (no corrections) in meV per atom: 614
E above lowest polymorph in eV per atom: 0.1497



# 5
Density functional theory data (SCAN) for ZnGaAs2Br at its PBEsol-relaxed geometry.

Cell and atoms, written as CIF:
```
data_ZnGaAs2Br
_chemical_formula_sum 'Zn1 Ga1 As2 Br1'
_cell_length_a 4.7211
_cell_length_b 4.7211
_cell_length_c 5.5194
_cell_angle_alpha 90.00
_cell_angle_beta 90.00
_cell_angle_gamma 90.00
_space_group_name_H-M_alt 'P 4/m m m'
_space_group_IT_number 123
_space_group_name_Hall '-P 4 2'
loop_
_atom_site_label
_atom_site_type_symbol
_atom_site_fract_x
_atom_site_fract_y
_atom_site_fract_z
Zn1 Zn 0.0000 0.0000 0.0000
Ga1 Ga 0.5000 0.5000 0.5000
As1 As 0.0000 0.5000 0.0000
Br1 Br 0.0000 0.0000 0.5000
```

Output
Crystal system: tetragonal
M_tot in μB/f.u.: 1.45
Formation energy (no corrections) in meV per atom: 429



# 6
Density functional theory data (SCAN) for LiCaMn2 at its PBEsol-relaxed geometry.

Cell and atoms, written as CIF:
```
data_LiCaMn2
_chemical_formula_sum 'Li2 Ca2 Mn4'
_cell_length_a 4.0202
_cell_length_b 4.0202
_cell_length_c 9.1939
_cell_angle_alpha 90.00
_cell_angle_beta 90.00
_cell_angle_gamma 90.00
_space_group_name_H-M_alt 'I 4/m m m'
_space_group_IT_number 139
_space_group_name_Hall '-I 4 2'
loop_
_atom_site_label
_atom_site_type_symbol
_atom_site_fract_x
_atom_site_fract_y
_atom_site_fract_z
Li1 Li 0.0000 0.0000 0.0000
Ca1 Ca 0.0000 0.0000 0.5000
Mn1 Mn 0.0000 0.5000 0.2500
```

Output
Crystal system: tetragonal
M_tot in μB/f.u.: 8.14
Calculated formation energy in meV per atom: 327
E above lowest polymorph in eV per atom: 0.0657